# AcPr2Tl2Ag2

A relaxed AcPr2Tl2Ag2 crystal (PBE-GGA, Alexandria).

Cell lengths 5.0139, 5.0139, 28.9003 Å; angles 90.00, 90.00, 120.00 degrees
Closest atoms and distances in Å follow each position.
Space group R-3m (No. 166, hexagonal axes)
Inequivalent atoms, fractional coordinates:
Ac 0.0000 0.0000 0.0000  6 Ag 3.57, 6 Tl 3.66, 2 Pr 3.67
Pr 0.0000 0.0000 0.1270  3 Tl 3.23, 3 Ag 3.30
Tl 0.0000 0.0000 0.2558  3 Ag 2.90, 3 Pr 3.23
Ag 0.0000 0.0000 0.4057  3 Tl 2.90

Computed properties:
Total DFT energy (no corrections) (eV per cell): -77.23
Calculated formation energy (eV per atom): -0.2343
Density of states at the Fermi level (states/eV/f.u.): 4.65